# 1
First-principles (PBE) data for a geometry-optimized Sm12Dy6Er structure, as listed in Alexandria via LeMat-Bulk.

a b c (Å): 12.0592 12.0592 15.1981
angles (deg): 90.00 90.00 120.00
Space group R-3 (No. 148, hexagonal axes)
Unique sites:
Sm1 0.0052 0.1748 0.1910 [18 per cell]
Sm2 0.0456 0.1954 0.4163 [18 per cell]
Dy1 0.0143 0.5885 0.6856 [18 per cell]
Er1 0.0000 0.0000 0.0000 [3 per cell]

crystal system	trigonal
E_form	0.14	eV/atom
volume	1914.1	Å³/cell
distance to the lowest polymorph of the same formula	0.00	eV per formula unit

# 2
First-principles (PBE) data for a geometry-optimized Sm2Y6Ho3 structure, as listed in Alexandria via LeMat-Bulk.

a b c (Å): 4.728 4.728 33.448
angles (deg): 90.00 90.00 90.00
Space group I4/mmm (No. 139)
Unique sites:
Sm1 0.000 0.000 0.045 [4 per cell]
Y1 0.000 0.000 0.199 [4 per cell]
Y2 0.000 0.500 0.121 [8 per cell]
Ho1 0.000 0.000 0.301 [4 per cell]
Ho2 0.000 0.000 0.500 [2 per cell]

crystal system	tetragonal
E_form	0.29	eV/atom
volume	747.8	Å³/cell
distance to the lowest polymorph of the same formula	0.74	eV per formula unit